Be3SiF: optimized geometry, PBEsol.

Properties
D(E_F), states/eV/atom: 0.287
VASP energy, eV per atom: -3.53

The structure in CIF format:
```
data_Be3SiF
_symmetry_space_group_name_H-M 'P m -3 m'
_symmetry_Int_Tables_number 221
_symmetry_space_group_name_Hall '-P 4 2 3'
_cell_length_a 4.155
_cell_length_b 4.155
_cell_length_c 4.155
_cell_angle_alpha 90.00
_cell_angle_beta 90.00
_cell_angle_gamma 90.00
loop_
_atom_site_label
_atom_site_type_symbol
_atom_site_fract_x
_atom_site_fract_y
_atom_site_fract_z
Be1 Be 0.000 0.000 0.500
Si1 Si 0.000 0.000 0.000
F1 F 0.500 0.500 0.500
```



BeSiF2: optimized geometry, PBEsol.

Properties
D(E_F), states/eV/atom: 0.334
VASP energy, eV per atom: -4.74

The structure in CIF format:
```
data_BeSiF2
_symmetry_space_group_name_H-M 'R -3 m'
_symmetry_Int_Tables_number 166
_symmetry_space_group_name_Hall '-R 3 2"'
_cell_length_a 2.7679
_cell_length_b 2.7679
_cell_length_c 28.0140
_cell_angle_alpha 90.00
_cell_angle_beta 90.00
_cell_angle_gamma 120.00
loop_
_atom_site_label
_atom_site_type_symbol
_atom_site_fract_x
_atom_site_fract_y
_atom_site_fract_z
Be1 Be 0.0000 0.0000 0.0000
Si1 Si 0.0000 0.0000 0.5000
F1 F 0.0000 0.0000 0.0493
```



BeZnSn2F: optimized geometry, PBEsol.

Properties
D(E_F), states/eV/atom: 0.330
VASP energy, eV per atom: -3.69

The structure in CIF format:
```
data_BeZnSn2F
_symmetry_space_group_name_H-M 'P 4/m m m'
_symmetry_Int_Tables_number 123
_symmetry_space_group_name_Hall '-P 4 2'
_cell_length_a 5.284
_cell_length_b 5.284
_cell_length_c 3.198
_cell_angle_alpha 90.00
_cell_angle_beta 90.00
_cell_angle_gamma 90.00
loop_
_atom_site_label
_atom_site_type_symbol
_atom_site_fract_x
_atom_site_fract_y
_atom_site_fract_z
Be1 Be 0.000 0.000 0.000
Zn1 Zn 0.500 0.500 0.500
Sn1 Sn 0.000 0.500 0.000
F1 F 0.000 0.000 0.500
```



SrBeF2: optimized geometry, PBEsol.

Properties
D(E_F), states/eV/atom: 0.045
VASP energy, eV per atom: -4.67

The structure in CIF format:
```
data_SrBeF2
_symmetry_space_group_name_H-M 'R -3 m'
_symmetry_Int_Tables_number 166
_symmetry_space_group_name_Hall '-R 3 2"'
_cell_length_a 4.1242
_cell_length_b 4.1242
_cell_length_c 14.1678
_cell_angle_alpha 90.00
_cell_angle_beta 90.00
_cell_angle_gamma 120.00
loop_
_atom_site_label
_atom_site_type_symbol
_atom_site_fract_x
_atom_site_fract_y
_atom_site_fract_z
Sr1 Sr 0.0000 0.0000 0.0000
Be1 Be 0.0000 0.0000 0.5000
F1 F 0.0000 0.0000 0.3882
```